Crystalline BeZnSeO at its relaxed geometry. Source: the Open Quantum Materials Database, functional GGA-PBE.

a = 4.912 Å, b = 7.384 Å, c = 6.912 Å
α = 90.00°, β = 90.00°, γ = 90.00°
Fractional positions:
Zn (0.298, 0.624, 0.188)
Zn (0.798, 0.876, 0.812)
Zn (0.202, 0.376, 0.688)
Zn (0.702, 0.124, 0.312)
Se (0.008, 0.914, 0.125)
Se (0.992, 0.414, 0.375)
Se (0.492, 0.086, 0.625)
Se (0.508, 0.586, 0.875)
Be (0.705, 0.322, 0.960)
Be (0.295, 0.822, 0.540)
Be (0.795, 0.678, 0.460)
Be (0.205, 0.178, 0.040)
O (0.998, 0.785, 0.584)
O (0.002, 0.285, 0.916)
O (0.502, 0.215, 0.084)
O (0.498, 0.715, 0.416)

Calculated total energy ... -0.3478 Ry/atom
Space group ... No. 19
Relative energy among the computed polymorphs ... 0.120 eV/atom

Crystalline BeZnSeO at its relaxed geometry. Source: the Open Quantum Materials Database, functional GGA-PBE.

a = 6.535 Å, b = 11.204 Å, c = 6.306 Å
α = 90.00°, β = 90.00°, γ = 90.00°
Fractional positions:
Se (0.575, 0.971, 0.262)
Se (0.925, 0.029, 0.762)
Se (0.075, 0.971, 0.238)
Se (0.575, 0.529, 0.762)
Se (0.425, 0.029, 0.738)
Se (0.425, 0.471, 0.238)
Se (0.925, 0.471, 0.262)
Se (0.075, 0.529, 0.738)
O (0.762, 0.211, 0.114)
O (0.262, 0.289, 0.886)
O (0.262, 0.211, 0.386)
O (0.762, 0.289, 0.614)
O (0.238, 0.789, 0.886)
O (0.238, 0.711, 0.386)
O (0.738, 0.711, 0.114)
O (0.738, 0.789, 0.614)
Zn (0.423, 0.778, 0.152)
Zn (0.577, 0.278, 0.348)
Zn (0.923, 0.722, 0.848)
Zn (0.423, 0.722, 0.652)
Zn (0.923, 0.778, 0.348)
Zn (0.077, 0.222, 0.652)
Zn (0.077, 0.278, 0.152)
Zn (0.577, 0.222, 0.848)
Be (0.312, 0.074, 0.406)
Be (0.812, 0.074, 0.094)
Be (0.812, 0.426, 0.594)
Be (0.312, 0.426, 0.906)
Be (0.188, 0.574, 0.406)
Be (0.688, 0.574, 0.094)
Be (0.688, 0.926, 0.594)
Be (0.188, 0.926, 0.906)

Calculated total energy ... -0.3259 Ry/atom
Space group ... No. 61
Relative energy among the computed polymorphs ... 0.417 eV/atom

Crystalline BeZnSeO at its relaxed geometry. Source: the Open Quantum Materials Database, functional GGA-PBE.

a = 5.731 Å, b = 7.111 Å, c = 6.717 Å
α = 90.00°, β = 90.00°, γ = 90.00°
Fractional positions:
Be (0.409, 0.738, 0.163)
Be (0.909, 0.762, 0.837)
Be (0.091, 0.262, 0.663)
Be (0.591, 0.238, 0.337)
Se (0.060, 0.853, 0.121)
Se (0.560, 0.647, 0.879)
Se (0.940, 0.353, 0.379)
Se (0.440, 0.147, 0.621)
Zn (0.650, 0.301, 0.896)
Zn (0.150, 0.199, 0.104)
Zn (0.850, 0.699, 0.396)
Zn (0.350, 0.801, 0.604)
O (0.986, 0.277, 0.863)
O (0.486, 0.223, 0.137)
O (0.014, 0.777, 0.637)
O (0.514, 0.723, 0.363)

Calculated total energy ... -0.3368 Ry/atom
Space group ... No. 19
Relative energy among the computed polymorphs ... 0.268 eV/atom

Crystalline BeZnSeO at its relaxed geometry. Source: the Open Quantum Materials Database, functional GGA-PBE.

a = 4.692 Å, b = 4.692 Å, c = 5.682 Å
α = 90.00°, β = 90.00°, γ = 90.00°
Fractional positions:
O (0.750, 0.750, 0.067)
O (0.250, 0.250, 0.933)
Be (0.750, 0.750, 0.313)
Be (0.250, 0.250, 0.687)
Se (0.750, 0.250, 0.500)
Se (0.250, 0.750, 0.500)
Zn (0.750, 0.750, 0.751)
Zn (0.250, 0.250, 0.249)

Calculated total energy ... -0.3000 Ry/atom
Space group ... No. 129
Relative energy among the computed polymorphs ... 0.769 eV/atom

Crystalline Sm2Be2O5 at its relaxed geometry. Source: the Open Quantum Materials Database, functional GGA-PBE.

a = 8.923 Å, b = 3.824 Å, c = 3.824 Å
α = 90.00°, β = 90.00°, γ = 90.00°
Each line ends with the local moment (μB).
Fractional positions:
Sm (0.241, 0.500, 0.500)  0.00
Sm (0.759, 0.500, 0.500)  0.00
O (0.877, 0.500, 0.000)  0.19
O (0.123, 0.000, 0.500)  0.32
O (0.877, 0.000, 0.500)  0.32
O (0.123, 0.500, 0.000)  0.19
O (0.500, 0.500, 0.500)  0.02
Be (0.500, 0.000, 0.000)  0.02
Be (0.000, 0.000, 0.000)  -0.02

Calculated total energy ... -0.4456 Ry/atom
Space group ... No. 123
Relative energy among the computed polymorphs ... 1.427 eV/atom
M_tot ... 1.24 μB/f.u.

Crystalline Sm2BeO4 at its relaxed geometry. Source: the Open Quantum Materials Database, functional GGA-PBE.

a = 6.438 Å, b = 6.438 Å, c = 6.438 Å
α = 120.00°, β = 90.00°, γ = 120.00°
Fractional positions:
Sm (0.875, 0.250, 0.625)
Sm (0.375, 0.750, 0.125)
Sm (0.375, 0.750, 0.625)
Sm (0.375, 0.250, 0.625)
Be (0.750, 0.500, 0.250)
Be (0.000, 0.000, 0.000)
O (0.633, 0.735, 0.367)
O (0.102, 0.735, 0.367)
O (0.117, 0.235, 0.883)
O (0.117, 0.765, 0.883)
O (0.633, 0.265, 0.898)
O (0.633, 0.265, 0.367)
O (0.117, 0.235, 0.352)
O (0.648, 0.765, 0.883)

Calculated total energy ... -0.5406 Ry/atom
Space group ... No. 227
M_tot ... 0.00 μB/f.u.